Below is HfTi2SiO at its PBEsol-relaxed geometry, with properties calculated at the SCAN level.

Properties
theoretical density = 5.479 g/cm3

Lattice parameters (Å, degrees): 3.8397 5.0123 5.0123 90.00 90.00 90.00
Element x y z (fractional)
O  0.5000  0.0000  0.0000
Hf  0.0000  0.0000  0.0000
Si  0.5000  0.5000  0.5000
Ti  0.0000  0.0000  0.5000
Ti  0.0000  0.5000  0.0000

Below is Sm2Hf2O7 at its PBEsol-relaxed geometry, with properties calculated at the SCAN level.

Properties
theoretical density = 8.809 g/cm3

Lattice parameters (Å, degrees): 7.4312 7.4312 7.4312 60.00 60.00 60.00
Element x y z (fractional)
Sm  0.6250  0.1250  0.6250
Sm  0.1250  0.6250  0.6250
Sm  0.6250  0.6250  0.1250
Sm  0.6250  0.6250  0.6250
O  0.2105  0.7895  0.7895
O  0.7895  0.2105  0.7895
O  0.0395  0.4605  0.4605
O  0.2105  0.7895  0.2105
O  0.0395  0.0395  0.4605
O  0.7500  0.7500  0.7500
O  0.4605  0.4605  0.0395
O  0.0395  0.4605  0.0395
O  0.5000  0.5000  0.5000
O  0.4605  0.0395  0.4605
O  0.7895  0.7895  0.2105
O  0.2105  0.2105  0.7895
O  0.4605  0.0395  0.0395
O  0.7895  0.2105  0.2105
Hf  0.1250  0.6250  0.1250
Hf  0.1250  0.1250  0.1250
Hf  0.6250  0.1250  0.1250
Hf  0.1250  0.1250  0.6250

What did we get for E_tot? Answer: -21.959, -27.326 eV/atom, in the order shown.